Here is a geometry-optimized Y2VAgW structure from the Alexandria database. Energies are from PBE.

Cell lengths 5.502, 4.539, 5.502 Å; angles 90.00, 90.00, 90.00 degrees
Fractional coordinates of all 5 atoms:
V (0.000, 0.500, 0.000)
W (0.000, 0.000, 0.000)
Y (0.000, 0.000, 0.500)
Y (0.500, 0.000, 0.000)
Ag (0.500, 0.500, 0.500)

- symmetry = P4/mmm
- raw total energy (eV per atom) = -6.76